No. 1
Here is a geometry-optimized SmAg structure from OQMD via LeMat-Bulk. Energies are from PBE.

Computed properties:
For the energy relative to the elements, the calculation gives 450.0 meV per atom. As for the total energy: -6.64 eV for the cell shown. As for the space-group type: F-43m.

Cell lengths 4.679, 4.679, 4.679 Å; angles 60.00, 60.00, 60.00 degrees
Atoms (fractional coordinates):
1 Sm 0.000 0.000 0.000
2 Ag 0.250 0.250 0.250

***

No. 2
Here is a geometry-optimized TbSmAg2Sn2 structure from OQMD via LeMat-Bulk. Energies are from PBE.

Computed properties:
As for the total energy: -26.69 eV for the cell shown. As for the space-group type: P3m1.

Cell lengths 4.755, 4.755, 7.432 Å; angles 90.00, 90.00, 120.00 degrees
Atoms (fractional coordinates):
1 Tb 0.000 0.000 0.000
2 Sm 0.000 0.000 0.499
3 Ag 0.333 0.667 0.189
4 Ag 0.667 0.333 0.697
5 Sn 0.333 0.667 0.781
6 Sn 0.667 0.333 0.276

***

No. 3
Here is a geometry-optimized SmAgSnTe3 structure from OQMD via LeMat-Bulk. Energies are from PBE.

Computed properties:
As for the total energy: -50.05 eV for the cell shown. As for the space-group type: Cmcm. The offset from the most stable computed form comes out at 0.0051 eV/atom.

Cell lengths 7.711, 7.711, 11.307 Å; angles 90.00, 90.00, 147.34 degrees
Atoms (fractional coordinates):
1 Sm 0.000 0.000 0.000
2 Sm 0.000 0.000 0.500
3 Ag 0.473 0.527 0.750
4 Ag 0.527 0.473 0.250
5 Sn 0.230 0.770 0.250
6 Sn 0.770 0.230 0.750
7 Te 0.098 0.902 0.750
8 Te 0.351 0.649 0.560
9 Te 0.351 0.649 0.940
10 Te 0.649 0.351 0.060
11 Te 0.649 0.351 0.440
12 Te 0.902 0.098 0.250

***

No. 4
Here is a geometry-optimized SmAgSnTe3 structure from OQMD via LeMat-Bulk. Energies are from PBE.

Computed properties:
As for the total energy: -99.62 eV for the cell shown. As for the space-group type: Pnma. The offset from the most stable computed form comes out at 0.0253 eV/atom.

Cell lengths 9.197, 4.553, 18.187 Å; angles 90.00, 90.00, 90.00 degrees
Atoms (fractional coordinates):
1 Sm 0.226 0.250 0.038
2 Sm 0.274 0.750 0.538
3 Sm 0.726 0.250 0.462
4 Sm 0.774 0.750 0.962
5 Ag 0.118 0.250 0.365
6 Ag 0.382 0.750 0.865
7 Ag 0.618 0.250 0.135
8 Ag 0.882 0.750 0.635
9 Sn 0.096 0.250 0.749
10 Sn 0.404 0.750 0.249
11 Sn 0.596 0.250 0.751
12 Sn 0.904 0.750 0.251
13 Te 0.036 0.250 0.585
14 Te 0.115 0.750 0.936
15 Te 0.189 0.250 0.214
16 Te 0.311 0.750 0.714
17 Te 0.385 0.250 0.436
18 Te 0.464 0.750 0.085
19 Te 0.536 0.250 0.915
20 Te 0.615 0.750 0.564
21 Te 0.689 0.250 0.286
22 Te 0.811 0.750 0.786
23 Te 0.885 0.250 0.064
24 Te 0.964 0.750 0.415

***

No. 5
Here is a geometry-optimized SmAgSnTe3 structure from OQMD via LeMat-Bulk. Energies are from PBE.

Computed properties:
As for the total energy: -99.31 eV for the cell shown. As for the space-group type: Pnma. The offset from the most stable computed form comes out at 0.0382 eV/atom.

Cell lengths 12.512, 4.533, 12.695 Å; angles 90.00, 90.00, 90.00 degrees
Atoms (fractional coordinates):
1 Sm 0.023 0.250 0.189
2 Sm 0.477 0.750 0.689
3 Sm 0.523 0.250 0.311
4 Sm 0.977 0.750 0.811
5 Ag 0.237 0.750 0.295
6 Ag 0.263 0.250 0.795
7 Ag 0.737 0.750 0.205
8 Ag 0.763 0.250 0.705
9 Sn 0.183 0.250 0.489
10 Sn 0.317 0.750 0.989
11 Sn 0.683 0.250 0.011
12 Sn 0.817 0.750 0.511
13 Te 0.029 0.750 0.371
14 Te 0.095 0.250 0.940
15 Te 0.217 0.750 0.672
16 Te 0.283 0.250 0.172
17 Te 0.405 0.750 0.440
18 Te 0.471 0.250 0.871
19 Te 0.529 0.750 0.129
20 Te 0.595 0.250 0.560
21 Te 0.717 0.750 0.828
22 Te 0.783 0.250 0.328
23 Te 0.905 0.750 0.060
24 Te 0.971 0.250 0.629

***

No. 6
Here is a geometry-optimized SmAgSnTe3 structure from OQMD via LeMat-Bulk. Energies are from PBE.

Computed properties:
As for the total energy: -49.84 eV for the cell shown. As for the space-group type: C2/m. The offset from the most stable computed form comes out at 0.0227 eV/atom.

Cell lengths 10.105, 10.105, 8.989 Å; angles 102.05, 102.05, 24.76 degrees
Atoms (fractional coordinates):
1 Sm 0.163 0.163 0.089
2 Sm 0.837 0.837 0.911
3 Ag 0.457 0.457 0.786
4 Ag 0.543 0.543 0.214
5 Sn 0.126 0.126 0.570
6 Sn 0.874 0.874 0.430
7 Te 0.000 0.000 0.000
8 Te 0.314 0.314 0.653
9 Te 0.327 0.327 0.157
10 Te 0.500 0.500 0.500
11 Te 0.673 0.673 0.843
12 Te 0.686 0.686 0.347

***

No. 7
Here is a geometry-optimized SmAgSnTe3 structure from OQMD via LeMat-Bulk. Energies are from PBE.

Computed properties:
As for the total energy: -100.23 eV for the cell shown. As for the space-group type: Pnma. The offset from the most stable computed form comes out at 0.0000 eV/atom.

Cell lengths 11.345, 4.380, 14.744 Å; angles 90.00, 90.00, 90.00 degrees
Atoms (fractional coordinates):
1 Sm 0.022 0.250 0.241
2 Sm 0.478 0.750 0.741
3 Sm 0.522 0.250 0.259
4 Sm 0.978 0.750 0.759
5 Ag 0.237 0.250 0.726
6 Ag 0.263 0.750 0.226
7 Ag 0.737 0.250 0.774
8 Ag 0.763 0.750 0.274
9 Sn 0.213 0.750 0.512
10 Sn 0.287 0.250 0.012
11 Sn 0.713 0.750 0.988
12 Sn 0.787 0.250 0.488
13 Te 0.040 0.250 0.606
14 Te 0.083 0.750 0.097
15 Te 0.234 0.750 0.849
16 Te 0.266 0.250 0.349
17 Te 0.417 0.250 0.597
18 Te 0.460 0.750 0.106
19 Te 0.540 0.250 0.894
20 Te 0.583 0.750 0.403
21 Te 0.734 0.750 0.651
22 Te 0.766 0.250 0.151
23 Te 0.917 0.250 0.903
24 Te 0.960 0.750 0.394

***

No. 8
Here is a geometry-optimized SmAgSnTe3 structure from OQMD via LeMat-Bulk. Energies are from PBE.

Computed properties:
As for the total energy: -50.00 eV for the cell shown. As for the space-group type: P2_1/m. The offset from the most stable computed form comes out at 0.0091 eV/atom.

Cell lengths 8.356, 4.364, 10.682 Å; angles 90.00, 105.89, 90.00 degrees
Atoms (fractional coordinates):
1 Sm 0.196 0.250 0.171
2 Sm 0.804 0.750 0.829
3 Ag 0.413 0.750 0.413
4 Ag 0.587 0.250 0.587
5 Sn 0.242 0.750 0.702
6 Sn 0.758 0.250 0.298
7 Te 0.083 0.250 0.862
8 Te 0.212 0.250 0.468
9 Te 0.460 0.750 0.162
10 Te 0.540 0.250 0.838
11 Te 0.788 0.750 0.532
12 Te 0.917 0.750 0.138